Here is a relaxed Al2ZnAg3 crystal from Alexandria. Energies are from GGA-PBE.

formation energy: 0.0 eV/f.u.
M_tot: 0.00 μB per formula unit

Unit cell a=4.0298 b=7.6866 c=7.6866 alpha=108.77 beta=105.71 gamma=105.71
Positions (direct):
1 Al 0.2500 0.9144 0.0856
2 Al 0.2500 0.2552 0.7448
3 Al 0.7500 0.0856 0.9144
4 Al 0.7500 0.7448 0.2552
5 Zn 0.2500 0.5801 0.4199
6 Zn 0.7500 0.4199 0.5801
7 Ag 0.9966 0.1624 0.3296
8 Ag 0.4966 0.3296 0.1624
9 Ag 0.0000 0.5000 0.0000
10 Ag 0.0034 0.8376 0.6704
11 Ag 0.5000 0.0000 0.5000
12 Ag 0.5034 0.6704 0.8376

Here is a relaxed NbIn2Cu crystal from Alexandria. Energies are from GGA-PBE.

formation energy: 1.8 eV/f.u.
M_tot: 0.00 μB per formula unit

Unit cell a=3.0523 b=3.0523 c=10.3005 alpha=81.48 beta=81.48 gamma=60.00
Positions (direct):
1 Nb 0.0000 0.0000 0.0000
2 Cu 0.5000 0.5000 0.5000
3 In 0.0952 0.0952 0.7143
4 In 0.9048 0.9048 0.2857

Here is a relaxed TcAg2As crystal from Alexandria. Energies are from GGA-PBE.

formation energy: 1.8 eV/f.u.
M_tot: 0.00 μB per formula unit

Unit cell a=2.7450 b=2.7450 c=9.1662 alpha=90.00 beta=90.00 gamma=90.52
Positions (direct):
1 As 0.5000 0.5000 0.2500
2 Tc 0.5000 0.5000 0.7500
3 Ag 0.0000 0.0000 0.9891
4 Ag 0.0000 0.0000 0.5109

Here is a relaxed Ce4SnBi12 crystal from Alexandria. Energies are from GGA-PBE.

formation energy: -4.2 eV/f.u.
M_tot: 3.70 μB per formula unit

Unit cell a=8.9129 b=8.9129 c=8.9129 alpha=109.47 beta=109.47 gamma=109.47
Positions (direct):
1 Ce 0.0000 0.0000 0.5000
2 Ce 0.5000 0.0000 0.0000
3 Ce 0.5000 0.5000 0.5000
4 Ce 0.0000 0.5000 0.0000
5 Sn 0.0000 0.0000 0.0000
6 Bi 0.0000 0.2877 0.2877
7 Bi 0.0000 0.7123 0.7123
8 Bi 0.7123 0.7123 0.0000
9 Bi 0.2877 0.2877 0.0000
10 Bi 0.2877 0.0000 0.2877
11 Bi 0.7123 0.0000 0.7123
12 Bi 0.5000 0.2500 0.7500
13 Bi 0.5000 0.7500 0.2500
14 Bi 0.7500 0.2500 0.5000
15 Bi 0.2500 0.7500 0.5000
16 Bi 0.7500 0.5000 0.2500
17 Bi 0.2500 0.5000 0.7500

Here is a relaxed CaYBO4 crystal from Alexandria. Energies are from GGA-PBE.

E_form (uncorrected): -3.1261 eV per atom
M_tot: 0.00 μB per formula unit

Unit cell a=3.6205 b=9.7332 c=10.5172 alpha=90.00 beta=90.00 gamma=90.00
Positions (direct):
1 Ca 0.2500 0.6732 0.0834
2 Ca 0.7500 0.3268 0.9166
3 Ca 0.7500 0.1732 0.4166
4 Ca 0.2500 0.8268 0.5834
5 Y 0.2500 0.0867 0.1132
6 Y 0.7500 0.9133 0.8868
7 Y 0.7500 0.5867 0.3868
8 Y 0.2500 0.4133 0.6132
9 B 0.2500 0.3679 0.1978
10 B 0.7500 0.6321 0.8022
11 B 0.7500 0.8679 0.3022
12 B 0.2500 0.1321 0.6978
13 O 0.2500 0.4999 0.2481
14 O 0.7500 0.5001 0.7519
15 O 0.7500 0.9999 0.2519
16 O 0.2500 0.0001 0.7481
17 O 0.2500 0.2511 0.2755
18 O 0.7500 0.7489 0.7245
19 O 0.7500 0.7511 0.2245
20 O 0.2500 0.2489 0.7755
21 O 0.2500 0.3482 0.0662
22 O 0.7500 0.6518 0.9338
23 O 0.7500 0.8482 0.4338
24 O 0.2500 0.1518 0.5662
25 O 0.2500 0.6133 0.5052
26 O 0.7500 0.3867 0.4948
27 O 0.7500 0.1133 0.9948
28 O 0.2500 0.8867 0.0052

Here is a relaxed PmPa2Zn crystal from Alexandria. Energies are from GGA-PBE.

formation energy: 1.1 eV/f.u.
M_tot: 0.00 μB per formula unit

Unit cell a=3.1474 b=3.1474 c=11.7751 alpha=82.32 beta=82.32 gamma=60.00
Positions (direct):
1 Zn 0.5000 0.5000 0.5000
2 Pa 0.0935 0.0935 0.7196
3 Pa 0.9065 0.9065 0.2804
4 Pm 0.0000 0.0000 0.0000

Here is a relaxed BeTlBW2 crystal from Alexandria. Energies are from GGA-PBE.

formation energy: 3.2 eV/f.u.
M_tot: 0.00 μB per formula unit

Unit cell a=4.3887 b=3.7340 c=4.3887 alpha=90.00 beta=90.00 gamma=90.00
Positions (direct):
1 Be 0.0000 0.5000 0.0000
2 Tl 0.5000 0.5000 0.5000
3 B 0.0000 0.0000 0.0000
4 W 0.0000 0.0000 0.5000
5 W 0.5000 0.0000 0.0000

no.,N(E_F) (states/eV/atom)
1,0.282
2,0.735
3,0.629
4,1.921
5,0.000
6,1.867
7,0.643